{"formula": "Y3Pd2", "functional": "PBE-GGA", "state": "optimized geometry", "cell": [[7.8250, 0.0000, 0.0000], [0.0000, 7.8250, 0.0000], [0.0000, 0.0000, 3.9334]], "species": ["Y", "Y", "Y", "Y", "Y", "Y", "Pd", "Pd", "Pd", "Pd"], "frac_coords": [[0.0000, 0.0000, 0.0000], [0.1640, 0.3360, 0.5000], [0.3360, 0.8360, 0.5000], [0.5000, 0.5000, 0.0000], [0.6640, 0.1640, 0.5000], [0.8360, 0.6640, 0.5000], [0.1323, 0.6323, 0.0000], [0.3677, 0.1323, 0.0000], [0.6323, 0.8677, 0.0000], [0.8677, 0.3677, 0.0000]], "polymorph_energy_mev_per_atom": 0, "ef_mev_per_atom": -728, "e_tot_ev_per_cell": -66.77}